{"formula": "Ca2Re", "functional": "PBE-GGA", "state": "optimized geometry", "crystal_system": "monoclinic", "e_tot_ha_per_atom": -0.18477, "relative_energy_mev_per_atom": 60, "formation_enthalpy_0k_ev_per_atom": 0.456, "magmom_total_mub_per_atom": 0.0000, "sg": "C2/m", "lattice_angstrom": [[1.6044, 7.9950, 0.1109], [-1.6044, 7.9950, 0.1109], [0.0000, 1.9909, 6.4911]], "species": ["Re", "Re", "Ca", "Ca", "Ca", "Ca"], "fractional_positions": [[0.4985, 0.4985, 0.8309], [0.5015, 0.5015, 0.1691], [0.8423, 0.8423, 0.1169], [0.1577, 0.1577, 0.8831], [0.8922, 0.8922, 0.5757], [0.1078, 0.1078, 0.4243]]}